Record 1
# AcThPb2

A geometry-optimized AcThPb2 structure (PBE, the Alexandria database).

Lattice parameters (Å, degrees): 3.6750 3.6750 34.0265 90.00 90.00 120.00
Space group R-3m (No. 166, hexagonal axes)
One atom of each set of equivalent atoms:
Ac 0.0000 0.0000 0.0000 (multiplicity 3)
Th 0.0000 0.0000 0.5000 (multiplicity 3)
Pb 0.0000 0.0000 0.2474 (multiplicity 6)

For the density of states at the Fermi level, the calculation gives 2.6 states/eV/f.u. As for the volume: 132.7 Å³/f.u. The calculation puts the uncorrected energy at -4.947 eV/atom.

Record 2
# AcThTlPb

A geometry-optimized AcThTlPb structure (PBE, the Alexandria database).

Lattice parameters (Å, degrees): 8.0582 8.0582 8.0582 90.00 90.00 90.00
Space group F-43m (No. 216)
One atom of each set of equivalent atoms:
Ac 0.0000 0.0000 0.0000 (multiplicity 4)
Th 0.0000 0.0000 0.5000 (multiplicity 4)
Tl 0.2500 0.2500 0.2500 (multiplicity 4)
Pb 0.2500 0.2500 0.7500 (multiplicity 4)

For the density of states at the Fermi level, the calculation gives 5.6 states/eV/f.u. As for the volume: 130.8 Å³/f.u. The calculation puts the uncorrected energy at -4.600 eV/atom.

Record 3
# AcTiPb2

A geometry-optimized AcTiPb2 structure (PBE, the Alexandria database).

Lattice parameters (Å, degrees): 3.5411 3.5411 34.4032 90.00 90.00 120.00
Space group R-3m (No. 166, hexagonal axes)
One atom of each set of equivalent atoms:
Ac 0.0000 0.0000 0.0000 (multiplicity 3)
Ti 0.0000 0.0000 0.5000 (multiplicity 3)
Pb 0.0000 0.0000 0.0996 (multiplicity 6)

For the density of states at the Fermi level, the calculation gives 4.4 states/eV/f.u. As for the volume: 124.5 Å³/f.u. The calculation puts the uncorrected energy at -4.591 eV/atom.

Record 4
# AcTiPb

A geometry-optimized AcTiPb structure (PBE, the Alexandria database).

Lattice parameters (Å, degrees): 3.8689 3.8689 11.8456 90.00 90.00 90.00
Space group I4mm (No. 107)
One atom of each set of equivalent atoms:
Ac 0.0000 0.0000 0.0000 (multiplicity 2)
Ti 0.0000 0.0000 0.6993 (multiplicity 2)
Pb 0.0000 0.0000 0.2930 (multiplicity 2)

For the density of states at the Fermi level, the calculation gives 4.1 states/eV/f.u. As for the volume: 88.7 Å³/f.u. The calculation puts the uncorrected energy at -5.165 eV/atom.

Record 5
# AcTiPb2

A geometry-optimized AcTiPb2 structure (PBE, the Alexandria database).

Lattice parameters (Å, degrees): 3.8429 3.8429 7.6560 90.00 90.00 90.00
Space group P4/mmm (No. 123)
One atom of each set of equivalent atoms:
Ac 0.0000 0.0000 0.0000 (multiplicity 1)
Ti 0.0000 0.0000 0.5000 (multiplicity 1)
Pb 0.5000 0.5000 0.2966 (multiplicity 2)

For the density of states at the Fermi level, the calculation gives 3.8 states/eV/f.u. As for the volume: 113.1 Å³/f.u. The calculation puts the uncorrected energy at -4.950 eV/atom.

Record 6
# Ac3Tl2Pb4

A geometry-optimized Ac3Tl2Pb4 structure (PBE, the Alexandria database).

Lattice parameters (Å, degrees): 8.5667 8.5667 4.8924 90.00 90.00 120.00
Space group P-62m (No. 189)
One atom of each set of equivalent atoms:
Ac 0.0000 0.3976 0.0000 (multiplicity 3)
Tl 0.3333 0.6667 0.5000 (multiplicity 2)
Pb 0.0000 0.0000 0.0000 (multiplicity 1)
Pb 0.0000 0.7374 0.5000 (multiplicity 3)

For the density of states at the Fermi level, the calculation gives 5.8 states/eV/f.u. As for the volume: 310.9 Å³/f.u. The calculation puts the uncorrected energy at -3.882 eV/atom.

Record 7
# Ac5TlPb3

A geometry-optimized Ac5TlPb3 structure (PBE, the Alexandria database).

Lattice parameters (Å, degrees): 10.3254 10.3254 7.2784 90.00 90.00 120.00
Space group P6_3/mcm (No. 193)
One atom of each set of equivalent atoms:
Ac 0.0000 0.2764 0.2500 (multiplicity 6)
Ac 0.3333 0.6667 0.0000 (multiplicity 4)
Tl 0.0000 0.0000 0.0000 (multiplicity 2)
Pb 0.0000 0.3772 0.7500 (multiplicity 6)

For the density of states at the Fermi level, the calculation gives 12.1 states/eV/f.u. As for the volume: 336.1 Å³/f.u. The calculation puts the uncorrected energy at -4.242 eV/atom.

Record 8
# Ac4TlPb3

A geometry-optimized Ac4TlPb3 structure (PBE, the Alexandria database).

Lattice parameters (Å, degrees): 4.7187 5.0258 12.6057 90.00 90.00 90.00
Space group Pmm2 (No. 25)
One atom of each set of equivalent atoms:
Ac 0.0000 0.0000 0.0000 (multiplicity 1)
Ac 0.0000 0.5000 0.4970 (multiplicity 1)
Ac 0.5000 0.0000 0.7265 (multiplicity 1)
Ac 0.5000 0.5000 0.2263 (multiplicity 1)
Tl 0.0000 0.0000 0.2752 (multiplicity 1)
Pb 0.0000 0.5000 0.7720 (multiplicity 1)
Pb 0.5000 0.0000 0.4465 (multiplicity 1)
Pb 0.5000 0.5000 0.9511 (multiplicity 1)

For the density of states at the Fermi level, the calculation gives 8.4 states/eV/f.u. As for the volume: 298.9 Å³/f.u. The calculation puts the uncorrected energy at -4.239 eV/atom.

Record 9
# Ac12Tl6Pb

A geometry-optimized Ac12Tl6Pb structure (PBE, the Alexandria database).

Lattice parameters (Å, degrees): 16.0213 16.0213 10.4924 90.00 90.00 120.00
Space group R-3 (No. 148, hexagonal axes)
One atom of each set of equivalent atoms:
Ac 0.0451 0.8564 0.3094 (multiplicity 18)
Ac 0.0551 0.8083 0.9405 (multiplicity 18)
Tl 0.0515 0.7980 0.6108 (multiplicity 18)
Pb 0.0000 0.0000 0.0000 (multiplicity 3)

The value obtained for the excess energy over the best structure of this formula in the dataset is 0.084 eV/atom. For the density of states at the Fermi level, the calculation gives 22.8 states/eV/f.u. As for the volume: 777.5 Å³/f.u.

Record 10
# AcTlPb3

A geometry-optimized AcTlPb3 structure (PBE, the Alexandria database).

Lattice parameters (Å, degrees): 6.2962 6.2962 22.7498 90.00 90.00 90.00
Space group I-4m2 (No. 119)
One atom of each set of equivalent atoms:
Ac 0.0000 0.0000 0.0857 (multiplicity 4)
Tl 0.0000 0.0000 0.5000 (multiplicity 2)
Tl 0.0000 0.5000 0.7500 (multiplicity 2)
Pb 0.0000 0.2477 0.6281 (multiplicity 8)
Pb 0.0000 0.5000 0.0020 (multiplicity 4)

The value obtained for the excess energy over the best structure of this formula in the dataset is 0.024 eV/atom. For the density of states at the Fermi level, the calculation gives 4.4 states/eV/f.u. As for the volume: 225.5 Å³/f.u.

Record 11
# AcTl2Pb6

A geometry-optimized AcTl2Pb6 structure (PBE, the Alexandria database).

Lattice parameters (Å, degrees): 6.5526 17.5203 5.5925 90.00 114.64 90.00
Space group C2/m (No. 12)
One atom of each set of equivalent atoms:
Ac 0.0000 0.0000 0.0000 (multiplicity 2)
Tl 0.0000 0.1570 0.5000 (multiplicity 4)
Pb 0.1253 0.5000 0.3111 (multiplicity 4)
Pb 0.1593 0.3281 0.8265 (multiplicity 8)

For the density of states at the Fermi level, the calculation gives 5.9 states/eV/f.u. As for the volume: 291.8 Å³/f.u. The calculation puts the uncorrected energy at -3.531 eV/atom.

Record 12
# Ac4Tl5Pb2

A geometry-optimized Ac4Tl5Pb2 structure (PBE, the Alexandria database).

Lattice parameters (Å, degrees): 8.4316 4.8116 9.5751 90.00 91.86 90.00
Space group P2/m (No. 10)
One atom of each set of equivalent atoms:
Ac 0.2188 0.0000 0.3746 (multiplicity 2)
Ac 0.2336 0.0000 0.8911 (multiplicity 2)
Tl 0.1311 0.5000 0.6240 (multiplicity 2)
Tl 0.4727 0.5000 0.1669 (multiplicity 2)
Tl 0.5000 0.5000 0.5000 (multiplicity 1)
Pb 0.1013 0.5000 0.1339 (multiplicity 2)

For the density of states at the Fermi level, the calculation gives 10.5 states/eV/f.u. As for the volume: 388.3 Å³/f.u. The calculation puts the uncorrected energy at -3.575 eV/atom.